(1)
## PmYErSc (PBE)

Data for a relaxed structure of PmYErSc.

## Properties
Calculated density   6.1 g cm⁻³
Distance to the lowest polymorph of the same formula   63 meV per atom
Total magnetization   0.001 μB per cell
E_tot   -5.42 eV per atom

abc: 7.873 7.873 7.873
angles: 90.00 90.00 90.00
Space group F-43m (No. 216)
Inequivalent atoms, fractional coordinates:
Pm: 0.000 0.000 0.000 (multiplicity 4)
Y: 0.000 0.000 0.500 (multiplicity 4)
Er: 0.250 0.250 0.750 (multiplicity 4)
Sc: 0.250 0.250 0.250 (multiplicity 4)



(2)
## PmErZrSc (PBE)

Data for a relaxed structure of PmErZrSc.

## Properties
Calculated density   6.8 g cm⁻³
Total magnetization   2.820 μB per cell
E_tot   -5.86 eV per atom

abc: 7.604 7.604 7.604
angles: 90.00 90.00 90.00
Space group F-43m (No. 216)
Inequivalent atoms, fractional coordinates:
Pm: 0.000 0.000 0.000 (multiplicity 4)
Er: 0.250 0.250 0.750 (multiplicity 4)
Zr: 0.000 0.000 0.500 (multiplicity 4)
Sc: 0.250 0.250 0.250 (multiplicity 4)



(3)
## Pm3ErSe4 (PBE)

Data for a relaxed structure of Pm3ErSe4.

## Properties
Calculated density   7.5 g cm⁻³
Distance to the lowest polymorph of the same formula   21 meV per atom
Uncorrected formation energy   -1.78 eV/atom
Total magnetization   0.000 μB per cell
E_tot   -5.87 eV per atom

abc: 5.884 5.884 5.884
angles: 90.00 90.00 90.00
Space group Pm-3m (No. 221)
Inequivalent atoms, fractional coordinates:
Pm: 0.000 0.000 0.500 (multiplicity 3)
Er: 0.500 0.500 0.500 (multiplicity 1)
Se: 0.000 0.000 0.000 (multiplicity 1)
Se: 0.000 0.500 0.500 (multiplicity 3)



(4)
## PmEr2Se3 (PBE)

Data for a relaxed structure of PmEr2Se3.

## Properties
Calculated density   8.2 g cm⁻³
Distance to the lowest polymorph of the same formula   0 meV per atom
Uncorrected formation energy   -1.74 eV/atom
Total magnetization   0.000 μB per cell
E_tot   -5.79 eV per atom

abc: 4.089 5.775 12.312
angles: 90.00 90.00 90.00
Space group Immm (No. 71)
Inequivalent atoms, fractional coordinates:
Pm: 0.000 0.000 0.000 (multiplicity 2)
Er: 0.000 0.000 0.340 (multiplicity 4)
Se: 0.000 0.500 0.000 (multiplicity 2)
Se: 0.000 0.500 0.323 (multiplicity 4)



| no. | DOS(E_F) (states/eV/f.u.) |
| --- | --- |
| 1 | 6.55 |
| 2 | 7.78 |
| 3 | 5.08 |
| 4 | 2.71 |